VASP calculation (PBE) on an optimized crystal structure of Tm2SbP.

Geometry as POSCAR:
```
Tm2SbP
1.0
4.0954 -0.0005 -0.0036
-2.0469 3.5472 0.0036
-2.0426 -1.1852 6.8905
Tm Sb P
2 1 1
Cartesian
0.0040 -0.0023 5.3508
0.0019 2.3638 1.5397
-2.0448 1.1810 3.4470
2.0528 -1.1856 6.8868
```

Properties
total DFT energy (no corrections): -5.92 eV/atom
volume: 25.019 Å³/atom
formation energy (no corrections): -1.30 eV per atom
DOS(E_F): 0.16 states/eV/atom